1.
The following is a PBE calculation of a relaxed structure of Ba2PmNpSe6, from Alexandria via LeMat-Bulk.

Summary:
E (eV for the cell shown): -117.388
Formation energy (no corrections) (eV/atom): -1.625
SG: P2_1/c, No. 14
N(E_F) (states/eV/cell): 15.86
Total magnetic moment (μB/atom): 0.20

Structure (extended XYZ):
```
20
Lattice="-4.212 6.074 1.175 -6.561 -4.382 -0.869 -0.007 -2.106 10.674" Properties=species:S:1:pos:R:3 pbc="T T T"
Np -2.109 1.984 5.924
Np -3.281 -2.191 -0.434
Pm -3.284 -3.244 4.902
Pm -2.106 3.037 0.587
Ba -5.984 -0.923 8.121
Ba -6.166 -4.437 1.893
Ba -4.614 4.023 9.086
Ba -4.796 0.509 2.859
Se -5.787 -1.322 0.263
Se -3.542 -3.126 7.781
Se -4.823 1.723 6.419
Se -8.671 0.144 6.085
Se -2.137 0.124 0.571
Se -8.642 -0.538 10.408
Se -7.238 2.711 3.198
Se -8.140 -3.385 7.550
Se -2.640 2.970 3.430
Se -2.109 -0.559 4.895
Se -5.957 -2.137 4.560
Se -4.993 0.908 10.716
```

***

2.
The following is a PBE calculation of a relaxed structure of Ba2PrNpSe6, from Alexandria via LeMat-Bulk.

Summary:
E (eV for the cell shown): -117.293
Formation energy (no corrections) (eV/atom): -1.617
SG: P2_1/c, No. 14
N(E_F) (states/eV/cell): 15.68
Total magnetic moment (μB/atom): 0.20

Structure (extended XYZ):
```
20
Lattice="7.512 0.000 -0.041 0.000 7.988 0.000 0.008 0.000 10.924" Properties=species:S:1:pos:R:3 pbc="T T T"
Ba 3.943 4.606 8.169
Ba 3.577 3.382 2.715
Ba 0.183 7.376 2.727
Ba 7.337 0.612 8.156
Se 2.228 5.503 0.536
Se 4.494 0.193 2.812
Se 0.742 3.801 8.295
Se 5.988 6.479 5.978
Se 5.292 2.485 10.347
Se 6.778 4.187 2.589
Se 5.140 2.338 6.007
Se 1.380 1.656 0.566
Se 1.532 1.509 4.906
Se 6.140 6.332 10.318
Se 3.026 7.796 8.072
Se 2.380 5.650 4.876
Np 3.760 0.000 5.442
Np 0.000 3.994 0.000
Pr 3.756 0.000 -0.020
Pr 0.004 3.994 5.462
```

***

3.
The following is a PBE calculation of a relaxed structure of BaNpPt2, from Alexandria via LeMat-Bulk.

Summary:
E (eV for the cell shown): -29.091
Energy above the most stable polymorph in this dataset (kJ/mol of formula units): 5
SG: P4/mmm, No. 123
N(E_F) (states/eV/cell): 12.46
Total magnetic moment (μB/atom): 1.02
ΔH_f (0 K) (eV per atom): -0.54

Structure (extended XYZ):
```
4
Lattice="-0.111 -1.523 3.286 0.551 -3.256 -1.491 7.589 0.963 0.702" Properties=species:S:1:pos:R:3 pbc="T T T"
Pt 1.476 0.187 0.136
Pt 6.113 0.775 0.565
Np 0.220 -2.390 0.898
Ba 4.015 -1.909 1.248
```

***

4.
The following is a PBE calculation of a relaxed structure of BaNp2Pt9, from Alexandria via LeMat-Bulk.

Summary:
E (eV for the cell shown): -88.983
SG: R-3m, No. 166
N(E_F) (states/eV/cell): 24.18
Total magnetic moment (μB/atom): 0.63
ΔH_f (0 K) (eV per atom): -0.57

Structure (extended XYZ):
```
12
Lattice="-5.039 1.280 1.795 -1.414 -1.054 5.209 0.742 8.090 4.740" Properties=species:S:1:pos:R:3 pbc="T T T"
Np -0.502 4.643 3.706
Np -5.208 3.673 8.038
Pt -2.855 4.158 5.872
Pt -0.692 5.481 6.726
Pt -2.531 6.665 4.995
Pt -2.462 2.186 4.108
Pt -3.179 1.652 6.749
Pt -2.139 0.107 2.344
Pt -3.247 6.130 7.636
Pt -3.570 8.210 9.400
Pt -5.017 2.835 5.018
Ba 0.000 0.000 0.000
```

***

5.
The following is a PBE calculation of a relaxed structure of BaNpPt2, from Alexandria via LeMat-Bulk.

Summary:
E (eV for the cell shown): -29.139
Energy above the most stable polymorph in this dataset (kJ/mol of formula units): 0
SG: R-3m, No. 166
N(E_F) (states/eV/cell): 8.91
Total magnetic moment (μB/atom): 0.90
ΔH_f (0 K) (eV per atom): -0.55

Structure (extended XYZ):
```
4
Lattice="4.314 0.000 0.000 2.157 3.736 0.000 2.157 1.245 7.004" Properties=species:S:1:pos:R:3 pbc="T T T"
Ba 4.314 2.491 3.502
Np 0.000 0.000 0.000
Pt 6.471 3.736 5.687
Pt 2.157 1.245 1.318
```

***

6.
The following is a PBE calculation of a relaxed structure of BaNp4Pt3S12, from Alexandria via LeMat-Bulk.

Summary:
E (eV for the cell shown): -140.782
Formation energy (no corrections) (eV/atom): -0.972
SG: Im-3, No. 204
N(E_F) (states/eV/cell): 34.37
Total magnetic moment (μB/atom): 0.60

Structure (extended XYZ):
```
20
Lattice="-5.544 -5.783 -2.741 6.604 -3.899 3.588 -3.745 5.024 5.694" Properties=species:S:1:pos:R:3 pbc="T T T"
S -4.805 -3.897 0.066
S -1.554 -1.471 5.806
S -3.758 -3.485 3.466
S -1.942 2.076 5.496
S -1.131 -3.188 0.735
S -2.492 -0.063 2.402
S -5.894 -0.341 3.483
S 2.121 -0.761 6.475
S 1.073 -1.173 3.075
S -0.743 -6.734 1.045
S 3.209 -4.317 3.057
S -0.193 -4.595 4.139
Ba 0.000 0.000 0.000
Pt -4.645 -0.380 1.477
Pt 1.429 0.562 4.641
Pt 0.530 -4.841 0.423
Np -1.873 2.512 2.847
Np -2.772 -2.892 -1.370
Np -1.342 -2.329 3.270
Np 3.302 -1.950 1.794
```

***

> Among the records above, which one has the highest E?

number 3